Record 1
# Fe3CoBi

A relaxed Fe3CoBi crystal (PBE-GGA, Alexandria).

```
data_Fe3CoBi
_cell_length_a 4.429
_cell_length_b 4.429
_cell_length_c 4.429
_cell_angle_alpha 90.00
_cell_angle_beta 90.00
_cell_angle_gamma 90.00
_symmetry_space_group_name_H-M 'P m -3 m'
_symmetry_Int_Tables_number 221
_symmetry_space_group_name_Hall '-P 4 2 3'
loop_
_atom_site_label
_atom_site_type_symbol
_atom_site_fract_x
_atom_site_fract_y
_atom_site_fract_z
Fe1 Fe 0.000 0.000 0.500
Co1 Co 0.000 0.000 0.000
Bi1 Bi 0.500 0.500 0.500
```

Values from the calculation:
The energy above the most stable polymorph in this dataset is 0 meV/atom. Its raw total energy is -6.52 eV/atom.

***

Record 2
# FeCoBi3

A relaxed FeCoBi3 crystal (PBE-GGA, Alexandria).

```
data_FeCoBi3
_cell_length_a 5.087
_cell_length_b 5.087
_cell_length_c 5.087
_cell_angle_alpha 90.00
_cell_angle_beta 90.00
_cell_angle_gamma 90.00
_symmetry_space_group_name_H-M 'P m -3 m'
_symmetry_Int_Tables_number 221
_symmetry_space_group_name_Hall '-P 4 2 3'
loop_
_atom_site_label
_atom_site_type_symbol
_atom_site_fract_x
_atom_site_fract_y
_atom_site_fract_z
Fe1 Fe 0.000 0.000 0.000
Co1 Co 0.500 0.500 0.500
Bi1 Bi 0.000 0.500 0.500
```

Values from the calculation:
The energy above the most stable polymorph in this dataset is 0 meV/atom. Its raw total energy is -4.63 eV/atom.

***

Record 3
# FeCoBi2

A relaxed FeCoBi2 crystal (PBE-GGA, Alexandria).

```
data_FeCoBi2
_cell_length_a 7.232
_cell_length_b 7.232
_cell_length_c 6.727
_cell_angle_alpha 90.00
_cell_angle_beta 90.00
_cell_angle_gamma 90.00
_symmetry_space_group_name_H-M 'I -4 2 d'
_symmetry_Int_Tables_number 122
_symmetry_space_group_name_Hall 'I -4 2bw'
loop_
_atom_site_label
_atom_site_type_symbol
_atom_site_fract_x
_atom_site_fract_y
_atom_site_fract_z
Fe1 Fe 0.000 0.000 0.000
Co1 Co 0.000 0.000 0.500
Bi1 Bi 0.231 0.250 0.625
```

Values from the calculation:
The energy above the most stable polymorph in this dataset is 219 meV/atom. Its raw total energy is -5.05 eV/atom.

***

Record 4
# FeCoBi2

A relaxed FeCoBi2 crystal (PBE-GGA, Alexandria).

```
data_FeCoBi2
_cell_length_a 6.749
_cell_length_b 6.749
_cell_length_c 6.749
_cell_angle_alpha 90.00
_cell_angle_beta 90.00
_cell_angle_gamma 90.00
_symmetry_space_group_name_H-M 'F m -3 m'
_symmetry_Int_Tables_number 225
_symmetry_space_group_name_Hall '-F 4 2 3'
loop_
_atom_site_label
_atom_site_type_symbol
_atom_site_fract_x
_atom_site_fract_y
_atom_site_fract_z
Fe1 Fe 0.000 0.000 0.000
Co1 Co 0.000 0.000 0.500
Bi1 Bi 0.250 0.250 0.250
```

Values from the calculation:
The energy above the most stable polymorph in this dataset is 0 meV/atom. Its raw total energy is -5.27 eV/atom.

***

Record 5
# Fe2CoGeBi

A relaxed Fe2CoGeBi crystal (PBE-GGA, Alexandria).

```
data_Fe2CoGeBi
_cell_length_a 4.592
_cell_length_b 4.592
_cell_length_c 4.830
_cell_angle_alpha 90.00
_cell_angle_beta 90.00
_cell_angle_gamma 90.00
_symmetry_space_group_name_H-M 'P 4/m m m'
_symmetry_Int_Tables_number 123
_symmetry_space_group_name_Hall '-P 4 2'
loop_
_atom_site_label
_atom_site_type_symbol
_atom_site_fract_x
_atom_site_fract_y
_atom_site_fract_z
Fe1 Fe 0.000 0.500 0.000
Co1 Co 0.000 0.000 0.000
Ge1 Ge 0.500 0.500 0.500
Bi1 Bi 0.000 0.000 0.500
```

Values from the calculation:
Its raw total energy is -5.64 eV/atom.

***

Record 6
# NbFeCo2Bi

A relaxed NbFeCo2Bi crystal (PBE-GGA, Alexandria).

```
data_NbFeCo2Bi
_cell_length_a 4.348
_cell_length_b 4.348
_cell_length_c 4.762
_cell_angle_alpha 90.00
_cell_angle_beta 90.00
_cell_angle_gamma 90.00
_symmetry_space_group_name_H-M 'P 4/m m m'
_symmetry_Int_Tables_number 123
_symmetry_space_group_name_Hall '-P 4 2'
loop_
_atom_site_label
_atom_site_type_symbol
_atom_site_fract_x
_atom_site_fract_y
_atom_site_fract_z
Nb1 Nb 0.000 0.000 0.000
Fe1 Fe 0.500 0.500 0.500
Co1 Co 0.000 0.500 0.500
Bi1 Bi 0.500 0.500 0.000
```

Values from the calculation:
Its raw total energy is -6.24 eV/atom.